Arrangement 1

# MnTc2B2 GGA-PBE relaxed
# **Total moment**: 0.89 μB/f.u.
data_MnTc2B2
_chemical_formula_sum 'Mn2 Tc4 B4'
_symmetry_space_group_name_H-M 'I m m m'
_symmetry_Int_Tables_number 71
_symmetry_space_group_name_Hall '-I 2 2'
_cell_length_a 3.024
_cell_length_b 4.624
_cell_length_c 7.237
_cell_angle_alpha 90.00
_cell_angle_beta 90.00
_cell_angle_gamma 90.00
loop_
_atom_site_label
_atom_site_fract_x
_atom_site_fract_y
_atom_site_fract_z
_atom_site_occupancy
Mn1 0.000 0.000 0.000 1
Tc1 0.000 0.500 0.201 1
B1 0.000 0.196 0.500 1

=====

Arrangement 2

# MnTc2B2 GGA-PBE relaxed
# **Total moment**: 0.00 μB/f.u.
data_MnTc2B2
_chemical_formula_sum 'Mn2 Tc4 B4'
_symmetry_space_group_name_H-M 'P 4/m b m'
_symmetry_Int_Tables_number 127
_symmetry_space_group_name_Hall '-P 4 2ab'
_cell_length_a 5.801
_cell_length_b 5.801
_cell_length_c 2.999
_cell_angle_alpha 90.00
_cell_angle_beta 90.00
_cell_angle_gamma 90.00
loop_
_atom_site_label
_atom_site_fract_x
_atom_site_fract_y
_atom_site_fract_z
_atom_site_occupancy
Mn1 0.000 0.000 0.000 1
Tc1 0.172 0.328 0.500 1
B1 0.120 0.620 0.000 1

=====

The structure with the most favorable energy is arrangement 1; the runner-up is 54 meV per atom above it.

=====

Arrangement 1

# MnTcB3 GGA-PBE relaxed
# **Total moment**: 0.00 μB/f.u.
data_MnTcB3
_chemical_formula_sum 'Mn1 Tc1 B3'
_symmetry_space_group_name_H-M 'P m -3 m'
_symmetry_Int_Tables_number 221
_symmetry_space_group_name_Hall '-P 4 2 3'
_cell_length_a 3.948
_cell_length_b 3.948
_cell_length_c 3.948
_cell_angle_alpha 90.00
_cell_angle_beta 90.00
_cell_angle_gamma 90.00
loop_
_atom_site_label
_atom_site_fract_x
_atom_site_fract_y
_atom_site_fract_z
_atom_site_occupancy
Mn1 0.000 0.000 0.000 1
Tc1 0.500 0.500 0.500 1
B1 0.000 0.500 0.500 1

=====

Arrangement 2

# MnTcB3 GGA-PBE relaxed
# **Total moment**: 0.00 μB/f.u.
data_MnTcB3
_chemical_formula_sum 'Mn1 Tc1 B3'
_symmetry_space_group_name_H-M 'P m -3 m'
_symmetry_Int_Tables_number 221
_symmetry_space_group_name_Hall '-P 4 2 3'
_cell_length_a 3.684
_cell_length_b 3.684
_cell_length_c 3.684
_cell_angle_alpha 90.00
_cell_angle_beta 90.00
_cell_angle_gamma 90.00
loop_
_atom_site_label
_atom_site_fract_x
_atom_site_fract_y
_atom_site_fract_z
_atom_site_occupancy
Mn1 0.000 0.000 0.000 1
Tc1 0.500 0.500 0.500 1
B1 0.000 0.000 0.500 1

=====

The structure with the most favorable energy is arrangement 2; the runner-up is 546 meV per atom above it.

=====

Arrangement 1

# MnTcB2 GGA-PBE relaxed
# **Total moment**: 3.84 μB/f.u.
data_MnTcB2
_chemical_formula_sum 'Mn4 Tc4 B8'
_symmetry_space_group_name_H-M 'I -4 2 d'
_symmetry_Int_Tables_number 122
_symmetry_space_group_name_Hall 'I -4 2bw'
_cell_length_a 4.729
_cell_length_b 4.729
_cell_length_c 9.305
_cell_angle_alpha 90.00
_cell_angle_beta 90.00
_cell_angle_gamma 90.00
loop_
_atom_site_label
_atom_site_fract_x
_atom_site_fract_y
_atom_site_fract_z
_atom_site_occupancy
Mn1 0.000 0.000 0.000 1
Tc1 0.000 0.000 0.500 1
B1 0.249 0.250 0.125 1

=====

Arrangement 2

# MnTcB2 GGA-PBE relaxed
# **Total moment**: 0.00 μB/f.u.
data_MnTcB2
_chemical_formula_sum 'Mn4 Tc4 B8'
_symmetry_space_group_name_H-M 'F m -3 m'
_symmetry_Int_Tables_number 225
_symmetry_space_group_name_Hall '-F 4 2 3'
_cell_length_a 5.273
_cell_length_b 5.273
_cell_length_c 5.273
_cell_angle_alpha 90.00
_cell_angle_beta 90.00
_cell_angle_gamma 90.00
loop_
_atom_site_label
_atom_site_fract_x
_atom_site_fract_y
_atom_site_fract_z
_atom_site_occupancy
Mn1 0.000 0.000 0.000 1
Tc1 0.000 0.000 0.500 1
B1 0.250 0.250 0.250 1

=====

The structure with the most favorable energy is arrangement 2; the runner-up is 591 meV per atom above it.

=====

Arrangement 1

# Y2MnTcB GGA-PBE relaxed
# **Total moment**: 3.60 μB/f.u.
data_Y2MnTcB
_chemical_formula_sum 'Y2 Mn1 Tc1 B1'
_symmetry_space_group_name_H-M 'P 4/m m m'
_symmetry_Int_Tables_number 123
_symmetry_space_group_name_Hall '-P 4 2'
_cell_length_a 5.067
_cell_length_b 5.067
_cell_length_c 4.013
_cell_angle_alpha 90.00
_cell_angle_beta 90.00
_cell_angle_gamma 90.00
loop_
_atom_site_label
_atom_site_fract_x
_atom_site_fract_y
_atom_site_fract_z
_atom_site_occupancy
Y1 0.000 0.500 0.000 1
Mn1 0.000 0.000 0.500 1
Tc1 0.500 0.500 0.500 1
B1 0.500 0.500 0.000 1

=====

Arrangement 2

# Y2MnTcB GGA-PBE relaxed
# **Total moment**: 2.02 μB/f.u.
data_Y2MnTcB
_chemical_formula_sum 'Y2 Mn1 Tc1 B1'
_symmetry_space_group_name_H-M 'P 4/m m m'
_symmetry_Int_Tables_number 123
_symmetry_space_group_name_Hall '-P 4 2'
_cell_length_a 5.331
_cell_length_b 5.331
_cell_length_c 4.345
_cell_angle_alpha 90.00
_cell_angle_beta 90.00
_cell_angle_gamma 90.00
loop_
_atom_site_label
_atom_site_fract_x
_atom_site_fract_y
_atom_site_fract_z
_atom_site_occupancy
Y1 0.000 0.500 0.000 1
Mn1 0.000 0.000 0.500 1
Tc1 0.000 0.000 0.000 1
B1 0.500 0.500 0.500 1

=====

The structure with the most favorable energy is arrangement 1; the runner-up is 989 meV per atom above it.

=====

Arrangement 1

# MnB2Te GGA-PBE relaxed
# **Total moment**: 1.38 μB/f.u.
data_MnB2Te
_chemical_formula_sum 'Mn4 B8 Te4'
_symmetry_space_group_name_H-M 'F m -3 m'
_symmetry_Int_Tables_number 225
_symmetry_space_group_name_Hall '-F 4 2 3'
_cell_length_a 5.782
_cell_length_b 5.782
_cell_length_c 5.782
_cell_angle_alpha 90.00
_cell_angle_beta 90.00
_cell_angle_gamma 90.00
loop_
_atom_site_label
_atom_site_fract_x
_atom_site_fract_y
_atom_site_fract_z
_atom_site_occupancy
Mn1 0.000 0.000 0.000 1
B1 0.250 0.250 0.250 1
Te1 0.000 0.000 0.500 1

=====

Arrangement 2

# MnB2Te GGA-PBE relaxed
# **Total moment**: 2.02 μB/f.u.
data_MnB2Te
_chemical_formula_sum 'Mn4 B8 Te4'
_symmetry_space_group_name_H-M 'I -4 2 d'
_symmetry_Int_Tables_number 122
_symmetry_space_group_name_Hall 'I -4 2bw'
_cell_length_a 5.041
_cell_length_b 5.041
_cell_length_c 9.750
_cell_angle_alpha 90.00
_cell_angle_beta 90.00
_cell_angle_gamma 90.00
loop_
_atom_site_label
_atom_site_fract_x
_atom_site_fract_y
_atom_site_fract_z
_atom_site_occupancy
Mn1 0.000 0.000 0.000 1
B1 0.206 0.250 0.125 1
Te1 0.000 0.000 0.500 1

=====

The structure with the most favorable energy is arrangement 2; the runner-up is 683 meV per atom above it.

=====

Arrangement 1

# Mn2B2Te GGA-PBE relaxed
# **Total moment**: 3.45 μB/f.u.
data_Mn2B2Te
_chemical_formula_sum 'Mn4 B4 Te2'
_symmetry_space_group_name_H-M 'P 4/m b m'
_symmetry_Int_Tables_number 127
_symmetry_space_group_name_Hall '-P 4 2ab'
_cell_length_a 6.127
_cell_length_b 6.127
_cell_length_c 3.102
_cell_angle_alpha 90.00
_cell_angle_beta 90.00
_cell_angle_gamma 90.00
loop_
_atom_site_label
_atom_site_fract_x
_atom_site_fract_y
_atom_site_fract_z
_atom_site_occupancy
Mn1 0.153 0.347 0.000 1
B1 0.098 0.598 0.500 1
Te1 0.000 0.000 0.500 1

=====

Arrangement 2

# Mn2B2Te GGA-PBE relaxed
# **Total moment**: 2.11 μB/f.u.
data_Mn2B2Te
_chemical_formula_sum 'Mn4 B4 Te2'
_symmetry_space_group_name_H-M 'I 4/m m m'
_symmetry_Int_Tables_number 139
_symmetry_space_group_name_Hall '-I 4 2'
_cell_length_a 3.885
_cell_length_b 3.885
_cell_length_c 7.542
_cell_angle_alpha 90.00
_cell_angle_beta 90.00
_cell_angle_gamma 90.00
loop_
_atom_site_label
_atom_site_fract_x
_atom_site_fract_y
_atom_site_fract_z
_atom_site_occupancy
Mn1 0.000 0.500 0.250 1
B1 0.000 0.000 0.116 1
Te1 0.000 0.000 0.500 1

=====

The structure with the most favorable energy is arrangement 2; the runner-up is 113 meV per atom above it.